# 1
PBE Cs2ZrAlBr6, optimized geometry; formation energy without anion corrections = -12.76 eV/f.u.; V = 379.37 Å³ per cell; total moment = 1.0 μB/cell
1.0
-3.7579 -7.1471 -0.9047
4.9243 -1.8036 -6.2064
4.3019 -6.8930 0.0975
Cs Br Zr Al
2 6 1 1
Direct
0.7500 0.2500 0.5000 Cs
0.2500 0.7500 0.5000 Cs
0.2372 0.2372 0.5257 Br
0.7628 0.7628 0.4743 Br
0.2371 0.2371 0.0000 Br
0.7629 0.7629 0.0000 Br
0.7629 0.2371 0.0000 Br
0.2371 0.7629 0.0000 Br
0.0000 0.0000 0.0000 Zr
0.5000 0.5000 0.0000 Al

***

# 2
PBE AlCuBr4, optimized geometry; formation energy without anion corrections = -3.55 eV/f.u.; V = 475.90 Å³ per cell; total moment = 0.0 μB/cell
1.0
7.2411 0.0000 0.0000
0.0000 7.2411 0.0000
0.0000 0.0000 9.0763
Al Cu Br
2 2 8
Direct
0.0000 0.5000 0.0000 Al
0.5000 0.0000 0.5000 Al
0.0000 0.0000 0.5000 Cu
0.0000 0.0000 0.0000 Cu
0.7364 0.2323 0.5000 Br
0.7677 0.2636 0.0000 Br
0.7364 0.7677 0.5000 Br
0.2323 0.7364 0.0000 Br
0.2636 0.7677 0.5000 Br
0.2323 0.2636 0.0000 Br
0.7677 0.7364 0.0000 Br
0.2636 0.2323 0.5000 Br

***

# 3
PBE Al2CuBr, optimized geometry; formation energy without anion corrections = -0.09 eV/f.u.; V = 76.21 Å³ per cell; relative energy among the computed polymorphs = 0.32 eV per formula unit; total moment = 0.0 μB/cell
1.0
7.5343 0.0271 0.0163
6.7179 3.4113 0.0163
6.7179 1.6207 3.0017
Cu Br Al
1 1 2
Direct
0.7500 0.7500 0.7500 Cu
0.2500 0.2500 0.2500 Br
0.0154 0.0154 0.0154 Al
0.4846 0.4846 0.4846 Al

***

# 4
PBE AlCu2Br, optimized geometry; formation energy without anion corrections = 1.87 eV/f.u.; V = 69.00 Å³ per cell; relative energy among the computed polymorphs = 2.26 eV per formula unit; total moment = 0.0 μB/cell
1.0
-0.3517 -3.6514 -3.6401
0.2451 -4.8184 1.8519
-2.7538 4.2071 1.1932
Cu Br Al
2 1 1
Direct
0.0000 0.0000 0.0000 Cu
0.5000 0.5000 0.0000 Cu
0.7500 0.2500 0.5000 Br
0.2500 0.7500 0.5000 Al

***

# 5
PBE AlCuBr, optimized geometry; formation energy without anion corrections = 0.30 eV/f.u.; V = 58.07 Å³ per cell; relative energy among the computed polymorphs = 0.41 eV per formula unit; total moment = 0.0 μB/cell
1.0
-1.9718 5.2284 -2.1534
-3.3766 1.6591 -4.6591
0.7957 -3.6169 4.7060
Cu Br Al
1 1 1
Direct
0.6277 0.6277 0.0000 Cu
0.3468 0.3468 0.0000 Br
0.0254 0.0254 0.0000 Al

***

# 6
PBE AlCuBr, optimized geometry; formation energy without anion corrections = 0.00 eV/f.u.; V = 117.34 Å³ per cell; relative energy among the computed polymorphs = 0.10 eV per formula unit; total moment = 0.0 μB/cell
1.0
3.4960 0.0000 0.0000
-1.7480 3.1140 0.0000
0.0000 0.0000 10.7784
Cu Al Br
2 2 2
Direct
0.4637 0.9274 0.0000 Cu
0.4173 0.8346 0.5000 Cu
0.7423 0.4845 0.3662 Al
0.7423 0.4845 0.6338 Al
0.1505 0.3011 0.8395 Br
0.1505 0.3011 0.1605 Br

***

# 7
PBE AlCuBr4, optimized geometry; formation energy without anion corrections = 4.57 eV/f.u.; V = 179.79 Å³ per cell; total moment = 0.0 μB/cell
1.0
2.8659 1.6937 5.3901
-3.0939 -0.4515 5.5099
1.6750 -4.4177 4.2206
Al Cu Br
1 1 4
Direct
0.0000 0.0000 0.0000 Al
0.7500 0.7500 0.7500 Cu
0.8716 0.3761 0.3761 Br
0.3761 0.3761 0.8716 Br
0.3761 0.8716 0.3761 Br
0.3761 0.3761 0.3761 Br

***

# 8
PBE AlCu2Br, optimized geometry; formation energy without anion corrections = 0.32 eV/f.u.; V = 70.29 Å³ per cell; relative energy among the computed polymorphs = 0.71 eV per formula unit; total moment = 0.0 μB/cell
1.0
3.2542 0.0000 0.0000
0.0000 3.2554 -0.0464
0.0000 0.0832 6.6334
Cu Br Al
2 1 1
Direct
0.0000 0.7495 0.0602 Cu
0.0000 0.7505 0.4398 Cu
0.5000 0.7500 0.7500 Br
0.5000 0.2500 0.2500 Al

***

# 9
PBE Al2CuBr, optimized geometry; formation energy without anion corrections = 1.73 eV/f.u.; V = 81.18 Å³ per cell; relative energy among the computed polymorphs = 2.14 eV per formula unit; total moment = 0.0 μB/cell
1.0
0.0000 3.4367 3.4367
3.4367 0.0000 3.4367
3.4367 3.4367 0.0000
Cu Br Al
1 1 2
Direct
0.0000 0.0000 0.0000 Cu
0.5000 0.5000 0.5000 Br
0.2500 0.2500 0.2500 Al
0.7500 0.7500 0.7500 Al

***

# 10
PBE Al2CuBr, optimized geometry; formation energy without anion corrections = 1.36 eV/f.u.; V = 77.35 Å³ per cell; relative energy among the computed polymorphs = 1.77 eV per formula unit; total moment = 0.0 μB/cell
1.0
-0.8505 1.1178 5.4634
-3.8582 -2.8981 2.9218
4.3072 -1.0110 -3.4996
Cu Br Al
1 1 2
Direct
0.7500 0.2500 0.5000 Cu
0.2500 0.7500 0.5000 Br
0.0000 0.0000 0.0000 Al
0.5000 0.5000 0.0000 Al

***

# 11
PBE AlCuBr, optimized geometry; formation energy without anion corrections = -0.11 eV/f.u.; V = 59.72 Å³ per cell; relative energy among the computed polymorphs = 0.00 eV per formula unit; total moment = 0.0 μB/cell
1.0
-2.2285 0.5782 -2.6988
2.8205 -2.1042 -0.4483
-2.9859 -4.3299 1.5378
Cu Br Al
1 1 1
Direct
0.3333 0.6667 0.7165 Cu
0.6667 0.3333 0.3200 Br
0.0000 0.0000 0.9634 Al

***

# 12
PBE AlCu3Br, optimized geometry; formation energy without anion corrections = 3.50 eV/f.u.; V = 102.33 Å³ per cell; relative energy among the computed polymorphs = 0.00 eV per formula unit; total moment = 0.0 μB/cell
1.0
4.6773 0.0000 0.0000
0.0000 4.6773 0.0000
0.0000 0.0000 4.6773
Cu Br Al
3 1 1
Direct
0.0000 0.5000 0.0000 Cu
0.0000 0.0000 0.5000 Cu
0.5000 0.0000 0.0000 Cu
0.5000 0.5000 0.5000 Br
0.0000 0.0000 0.0000 Al